Entry 1:
Below is a geometry-optimized PrTmMgSc structure, with properties calculated at the PBE level.

Cell lengths 5.4318, 5.4318, 5.4318 Å; angles 60.00, 60.00, 60.00 degrees
Closest atoms and distances in Å follow each position.
Positions (direct):
Pr (0.0000, 0.0000, 0.0000)  4 Mg 3.33, 4 Sc 3.33
Tm (0.5000, 0.5000, 0.5000)  4 Mg 3.33, 4 Sc 3.33
Mg (0.2500, 0.2500, 0.2500)  4 Pr 3.33, 4 Tm 3.33
Sc (0.7500, 0.7500, 0.7500)  4 Pr 3.33, 4 Tm 3.33

Output
The calculation puts the formation energy at 0.11 eV/f.u. Its distance to the lowest polymorph of the same formula is 0.0 meV per atom. The calculation puts the total energy at -4.27 eV per atom. For the volume, the calculation gives 28.33 A^3/atom.


Entry 2:
Below is a geometry-optimized PrTmMgSc structure, with properties calculated at the PBE level.

Cell lengths 3.4303, 10.1263, 10.1263 Å; angles 19.17, 90.00, 90.00 degrees
Closest atoms and distances in Å follow each position.
Positions (direct):
Pr (0.0000, 0.0000, 0.0000)  4 Pr 3.37-3.43, 4 Mg 3.45, 2 Tm 3.56
Tm (0.5000, 0.8436, 0.8436)  4 Sc 3.32, 4 Tm 3.37-3.43, 2 Pr 3.56
Mg (0.5000, 0.6239, 0.6239)  4 Sc 3.20, 4 Mg 3.37-3.43, 4 Pr 3.45
Sc (0.0000, 0.2294, 0.2294)  4 Mg 3.20, 4 Tm 3.32, 4 Sc 3.37-3.43

Output
The calculation puts the formation energy at 0.36 eV/f.u. Its distance to the lowest polymorph of the same formula is 62.9 meV per atom. The calculation puts the total energy at -4.20 eV per atom. For the volume, the calculation gives 28.88 A^3/atom.


Entry 3:
Below is a geometry-optimized PrMgScZn structure, with properties calculated at the PBE level.

Cell lengths 5.1535, 5.1535, 5.1535 Å; angles 60.00, 60.00, 60.00 degrees
Closest atoms and distances in Å follow each position.
Positions (direct):
Pr (0.0000, 0.0000, 0.0000)  4 Mg 3.16, 4 Zn 3.16
Mg (0.7500, 0.7500, 0.7500)  4 Pr 3.16, 4 Sc 3.16
Sc (0.5000, 0.5000, 0.5000)  4 Zn 3.16, 4 Mg 3.16
Zn (0.2500, 0.2500, 0.2500)  4 Sc 3.16, 4 Pr 3.16

Output
The calculation puts the formation energy at -0.61 eV/f.u. Its distance to the lowest polymorph of the same formula is 38.9 meV per atom. The calculation puts the total energy at -3.65 eV per atom. For the volume, the calculation gives 24.20 A^3/atom.


| no. | density (g/cm³) |
| --- | --- |
| 1 | 5.56 |
| 2 | 5.45 |
| 3 | 4.73 |